w) A PBEsol-optimized structure of Ta4Mn. Source: the Alexandria database, functional SCAN.

**Symmetry**: I4/mmm, No. 139

Unit cell a=3.792 b=3.792 c=7.154 alpha=105.37 beta=105.37 gamma=90.00
Site moments in Bohr magnetons follow the coordinates.
Fractional coordinates of all 5 atoms:
Mn (0.000, 0.000, 0.000)  4.01
Ta (0.250, 0.750, 0.500)  0.10
Ta (0.406, 0.406, 0.812)  -0.32
Ta (0.594, 0.594, 0.188)  -0.32
Ta (0.750, 0.250, 0.500)  0.10

---

x) A PBEsol-optimized structure of Ta4Mn. Source: the Alexandria database, functional SCAN.

**Symmetry**: I4/m, No. 87

Unit cell a=3.121 b=5.326 c=5.326 alpha=85.07 beta=72.96 gamma=72.96
Fractional coordinates of all 5 atoms:
Mn (0.000, 0.000, 0.000)
Ta (0.591, 0.622, 0.196)
Ta (0.787, 0.804, 0.622)
Ta (0.409, 0.378, 0.804)
Ta (0.213, 0.196, 0.378)

---

Energies, relative to the best one, in eV/atom: w) 0.879; x) 0.000.

---

w) A PBEsol-optimized structure of TaMn2Tl. Source: the Alexandria database, functional SCAN.

**Symmetry**: Fm-3m, No. 225

Unit cell a=4.360 b=4.360 c=4.360 alpha=60.00 beta=60.00 gamma=60.00
Site moments in Bohr magnetons follow the coordinates.
Fractional coordinates of all 4 atoms:
Mn (0.750, 0.750, 0.750)  3.18
Mn (0.250, 0.250, 0.250)  3.18
Ta (0.000, 0.000, 0.000)  -0.85
Tl (0.500, 0.500, 0.500)  -0.05

---

x) A PBEsol-optimized structure of TaMn2Tl. Source: the Alexandria database, functional SCAN.

**Symmetry**: F-43m, No. 216

Unit cell a=4.476 b=4.476 c=4.476 alpha=60.00 beta=60.00 gamma=60.00
Site moments in Bohr magnetons follow the coordinates.
Fractional coordinates of all 4 atoms:
Mn (0.000, 0.000, 0.000)  3.70
Mn (0.250, 0.250, 0.250)  3.12
Ta (0.500, 0.500, 0.500)  -0.79
Tl (0.750, 0.750, 0.750)  -0.07

---

Energies, relative to the best one, in eV/atom: w) 0.000; x) 0.179.

---

w) A PBEsol-optimized structure of TaMn2W. Source: the Alexandria database, functional SCAN.

**Symmetry**: R3m, No. 160

Unit cell a=2.706 b=2.706 c=8.887 alpha=81.24 beta=81.24 gamma=60.00
Site moments in Bohr magnetons follow the coordinates.
Fractional coordinates of all 4 atoms:
Mn (0.008, 0.008, 0.977)  -2.80
Mn (0.740, 0.740, 0.779)  2.81
Ta (0.494, 0.494, 0.517)  -0.09
W (0.258, 0.258, 0.226)  0.04

---

x) A PBEsol-optimized structure of TaMn2W. Source: the Alexandria database, functional SCAN.

**Symmetry**: Fm-3m, No. 225

Unit cell a=4.233 b=4.233 c=4.233 alpha=60.00 beta=60.00 gamma=60.00
Fractional coordinates of all 4 atoms:
Mn (0.250, 0.250, 0.250)
Mn (0.750, 0.750, 0.750)
W (0.500, 0.500, 0.500)
Ta (0.000, 0.000, 0.000)

---

y) A PBEsol-optimized structure of TaMn2W. Source: the Alexandria database, functional SCAN.

**Symmetry**: C2/m, No. 12

Unit cell a=2.687 b=4.852 c=4.852 alpha=112.81 beta=100.53 gamma=100.53
Site moments in Bohr magnetons follow the coordinates.
Fractional coordinates of all 4 atoms:
Mn (0.000, 0.500, 0.000)  1.71
Mn (0.000, 0.000, 0.500)  1.71
Ta (0.500, 0.000, 0.000)  -0.37
W (0.500, 0.500, 0.500)  -0.37

---

Energies, relative to the best one, in eV/atom: w) 0.377; x) 0.000; y) 0.166.